This record from Alexandria describes a geometry-optimized K2BeAsS4 structure. The functional is PBE.

Output
As for the calculated volume: 216.6 Å³/f.u. The total energy comes out at -4.12 eV per atom. As for the raw formation energy: -71.16 kJ per mole of atoms. The value obtained for the calculated density is 2.2 g cm⁻³.

The structure in POSCAR format:
```
K2BeAsS4
1.0
-4.256 3.386 -1.663
-6.595 -2.841 1.368
-2.155 6.653 9.336
K Be As S
4 2 2 8
Direct
0.179 0.000 0.642
0.821 0.000 0.358
0.571 0.500 0.858
0.929 0.500 0.142
0.750 0.500 0.500
0.000 0.000 0.000
0.250 0.500 0.500
0.500 0.000 0.000
0.267 0.815 0.103
0.185 0.185 0.897
0.918 0.815 0.897
0.630 0.185 0.103
0.483 0.685 0.397
0.565 0.315 0.603
0.832 0.685 0.603
0.120 0.315 0.397
```

This record from Alexandria describes a geometry-optimized ScMnCu2 structure. The functional is PBE.

Output
For the energy relative to the elements, the calculation gives 0.0032 eV per atom. As for the calculated volume: 58.6 Å³/f.u. The total energy comes out at -5.92 eV per atom. The value obtained for the calculated density is 6.4 g cm⁻³.

The structure in POSCAR format:
```
ScMnCu2
1.0
4.869 -0.055 -0.039
3.426 3.461 -0.039
1.518 0.623 3.427
Cu Mn Sc
2 1 1
Direct
0.000 0.000 0.000
0.750 0.750 0.750
0.500 0.500 0.500
0.250 0.250 0.250
```

This record from Alexandria describes a geometry-optimized Sc2AuBr structure. The functional is PBE.

Output
For the excess energy over the best structure of this formula in the dataset, the calculation gives 0.00 eV per formula unit. As for the calculated volume: 94.4 Å³/f.u. The total energy comes out at -5.20 eV per atom. As for the raw formation energy: -76.52 kJ per mole of atoms. The value obtained for the calculated density is 6.5 g cm⁻³.

The structure in POSCAR format:
```
Sc2AuBr
1.0
3.866 -0.019 -0.006
1.953 3.336 -0.006
1.955 1.115 7.291
Au Br Sc
1 1 2
Direct
0.750 0.750 0.750
0.250 0.250 0.250
0.012 0.012 0.962
0.488 0.488 0.538
```

This record from Alexandria describes a geometry-optimized Nd2AlCu structure. The functional is PBE.

Output
For the energy relative to the elements, the calculation gives 0.3381 eV per atom. As for the calculated volume: 108.7 Å³/f.u. The total energy comes out at -4.01 eV per atom. The value obtained for the calculated density is 5.8 g cm⁻³.

The structure in POSCAR format:
```
Nd2AlCu
1.0
3.402 0.000 0.000
1.701 2.947 0.000
1.701 0.982 10.843
Nd Al Cu
2 1 1
Direct
0.098 0.098 0.707
0.902 0.902 0.293
0.000 0.000 0.000
0.500 0.500 0.500
```

This record from Alexandria describes a geometry-optimized GaRe5 structure. The functional is PBE.

Output
For the energy relative to the elements, the calculation gives 0.1814 eV per atom. As for the calculated volume: 89.4 Å³/f.u. The total energy comes out at -10.70 eV per atom. The value obtained for the calculated density is 18.6 g cm⁻³.

The structure in POSCAR format:
```
GaRe5
1.0
2.973 0.000 0.000
0.000 4.400 0.000
0.000 -2.200 6.831
Re Ga
5 1
Direct
0.000 0.681 0.363
0.000 0.319 0.637
0.500 0.500 0.000
0.500 0.153 0.306
0.500 0.847 0.694
0.000 0.000 0.000
```

This record from Alexandria describes a geometry-optimized LiSiMo2 structure. The functional is PBE.

Output
As for the calculated volume: 55.5 Å³/f.u. The total energy comes out at -7.12 eV per atom. As for the raw formation energy: 12.48 kJ per mole of atoms. The value obtained for the calculated density is 6.8 g cm⁻³.

The structure in POSCAR format:
```
LiSiMo2
1.0
4.470 0.206 0.000
-1.524 4.207 0.000
0.000 0.000 2.905
Li Mo Si
1 2 1
Direct
0.000 0.500 0.500
0.000 0.000 0.000
0.500 0.500 0.000
0.500 0.000 0.500
```

This record from Alexandria describes a geometry-optimized Sr3InO structure. The functional is PBE.

Output
As for the calculated volume: 169.4 Å³/f.u. The total energy comes out at -3.53 eV per atom. As for the raw formation energy: -94.39 kJ per mole of atoms. The value obtained for the calculated density is 3.9 g cm⁻³.

The structure in POSCAR format:
```
Sr3InO
1.0
7.215 0.000 0.000
0.000 7.215 0.000
3.607 3.607 6.508
Sr O In
6 2 2
Direct
0.634 0.892 0.217
0.108 0.366 0.783
0.108 0.850 0.783
0.150 0.892 0.217
0.362 0.362 0.276
0.638 0.638 0.724
0.000 0.000 0.000
0.250 0.750 0.500
0.633 0.133 0.734
0.867 0.367 0.266
```

This record from Alexandria describes a geometry-optimized CeNd7Er12 structure. The functional is PBE.

Output
For the energy relative to the elements, the calculation gives 0.2399 eV per atom. As for the calculated volume: 657.6 Å³/f.u. The total energy comes out at -4.46 eV per atom. The value obtained for the calculated density is 8.0 g cm⁻³.

The structure in POSCAR format:
```
CeNd7Er12
1.0
8.485 1.056 1.585
-1.345 8.444 1.585
-1.345 -1.790 8.403
Ce Nd Er
1 7 12
Direct
0.000 0.000 0.000
0.965 0.670 0.068
0.330 0.932 0.035
0.932 0.035 0.330
0.500 0.500 0.500
0.068 0.965 0.670
0.670 0.068 0.965
0.035 0.330 0.932
0.773 0.235 0.628
0.765 0.372 0.227
0.456 0.126 0.356
0.874 0.644 0.544
0.372 0.227 0.765
0.644 0.544 0.874
0.356 0.456 0.126
0.628 0.773 0.235
0.126 0.356 0.456
0.544 0.874 0.644
0.235 0.628 0.773
0.227 0.765 0.372
```

This record from Alexandria describes a geometry-optimized Ce2PmGa structure. The functional is PBE.

Output
For the energy relative to the elements, the calculation gives -0.2872 eV per atom. For the excess energy over the best structure of this formula in the dataset, the calculation gives 0.00 eV per formula unit. As for the calculated volume: 106.2 Å³/f.u. The total energy comes out at -5.20 eV per atom. The value obtained for the calculated density is 7.7 g cm⁻³.

The structure in POSCAR format:
```
Ce2PmGa
1.0
4.692 0.000 0.000
0.000 7.049 -0.496
0.000 0.451 6.393
Ce Pm Ga
4 2 2
Direct
0.750 0.108 0.033
0.250 0.892 0.967
0.750 0.108 0.467
0.250 0.892 0.533
0.750 0.597 0.250
0.250 0.403 0.750
0.750 0.684 0.750
0.250 0.316 0.250
```

This record from Alexandria describes a geometry-optimized Te2IrF structure. The functional is PBE.

Output
For the excess energy over the best structure of this formula in the dataset, the calculation gives 0.02 eV per formula unit. As for the calculated volume: 104.9 Å³/f.u. The total energy comes out at -5.01 eV per atom. As for the raw formation energy: -73.11 kJ per mole of atoms. The value obtained for the calculated density is 7.4 g cm⁻³.

The structure in POSCAR format:
```
Te2IrF
1.0
-0.416 -5.480 5.185
-0.079 -2.823 -2.990
6.864 1.294 -1.402
Ir Te F
2 4 2
Direct
0.312 0.000 0.663
0.312 0.500 0.163
0.513 0.000 0.398
0.513 0.500 0.898
0.169 0.000 0.948
0.169 0.500 0.448
0.892 0.000 0.853
0.892 0.500 0.353
```

This record from Alexandria describes a geometry-optimized LaBPdO5 structure. The functional is PBE.

Output
As for the calculated volume: 91.9 Å³/f.u. The total energy comes out at -7.13 eV per atom. As for the raw formation energy: -186.79 kJ per mole of atoms. The value obtained for the calculated density is 6.1 g cm⁻³.

The structure in POSCAR format:
```
LaBPdO5
1.0
5.490 -0.034 -0.004
-1.635 5.241 -0.004
-1.609 -2.173 6.401
La B Pd O
2 2 2 10
Direct
0.353 0.647 0.250
0.647 0.353 0.750
0.697 0.303 0.250
0.303 0.697 0.750
0.000 0.000 0.500
0.000 0.000 0.000
0.096 0.904 0.250
0.904 0.096 0.750
0.891 0.320 0.134
0.109 0.680 0.866
0.680 0.109 0.366
0.320 0.891 0.634
0.754 0.577 0.415
0.246 0.423 0.585
0.423 0.246 0.085
0.577 0.754 0.915
```

This record from Alexandria describes a geometry-optimized TmMg2Tl2 structure. The functional is PBE.

Output
For the energy relative to the elements, the calculation gives -0.1436 eV per atom. For the excess energy over the best structure of this formula in the dataset, the calculation gives 0.00 eV per formula unit. As for the calculated volume: 124.8 Å³/f.u. The total energy comes out at -2.62 eV per atom. The value obtained for the calculated density is 8.3 g cm⁻³.

The structure in POSCAR format:
```
TmMg2Tl2
1.0
0.296 -5.107 0.371
4.205 -2.833 -0.777
3.398 -3.069 5.488
Tm Mg Tl
1 2 2
Direct
0.000 0.500 0.000
0.197 0.697 0.390
0.803 0.303 0.610
0.578 0.078 0.227
0.422 0.922 0.773
```

This record from Alexandria describes a geometry-optimized Rb2Zn3GeAs4 structure. The functional is PBE.

Output
For the energy relative to the elements, the calculation gives -0.3169 eV per atom. As for the calculated volume: 258.0 Å³/f.u. The total energy comes out at -3.21 eV per atom. The value obtained for the calculated density is 4.8 g cm⁻³.

The structure in POSCAR format:
```
Rb2Zn3GeAs4
1.0
-4.003 0.213 6.959
7.339 -2.096 -2.501
1.879 5.490 0.913
Rb Zn Ge As
2 3 1 4
Direct
0.500 0.000 0.249
0.000 0.500 0.751
0.500 0.500 0.500
0.500 0.500 0.000
0.000 0.000 0.500
0.000 0.000 0.000
0.655 0.860 0.757
0.140 0.345 0.243
0.860 0.655 0.243
0.345 0.140 0.757
```

This record from Alexandria describes a geometry-optimized ScInBr2 structure. The functional is PBE.

Output
For the excess energy over the best structure of this formula in the dataset, the calculation gives 0.91 eV per formula unit. As for the calculated volume: 120.4 Å³/f.u. The total energy comes out at -3.86 eV per atom. As for the raw formation energy: -72.78 kJ per mole of atoms. The value obtained for the calculated density is 4.4 g cm⁻³.

The structure in POSCAR format:
```
ScInBr2
1.0
7.720 0.078 0.006
5.317 5.597 -0.006
-6.093 -3.815 2.815
Br In Sc
2 1 1
Direct
0.082 0.082 0.000
0.771 0.271 0.500
0.416 0.416 0.000
0.230 0.730 0.500
```

This record from Alexandria describes a geometry-optimized FeTePb2 structure. The functional is PBE.

Output
As for the calculated volume: 107.1 Å³/f.u. The total energy comes out at -4.28 eV per atom. As for the raw formation energy: 45.61 kJ per mole of atoms. The value obtained for the calculated density is 9.3 g cm⁻³.

The structure in POSCAR format:
```
FeTePb2
1.0
5.373 -0.070 0.000
-1.065 5.267 0.000
0.000 0.000 3.794
Fe Pb Te
1 2 1
Direct
0.000 0.500 0.500
0.000 0.000 0.000
0.500 0.500 0.000
0.500 0.000 0.500
```

This record from Alexandria describes a geometry-optimized YZrW2 structure. The functional is PBE.

Output
For the energy relative to the elements, the calculation gives 0.5614 eV per atom. For the excess energy over the best structure of this formula in the dataset, the calculation gives 1.41 eV per formula unit. As for the calculated volume: 79.8 Å³/f.u. The total energy comes out at -9.67 eV per atom. The value obtained for the calculated density is 11.4 g cm⁻³.

The structure in POSCAR format:
```
YZrW2
1.0
-0.544 1.008 -2.593
1.143 -2.328 -1.145
-8.883 -4.429 0.141
W Y Zr
2 1 1
Direct
0.000 0.000 0.993
0.000 0.000 0.507
0.500 0.500 0.250
0.500 0.500 0.750
```

This record from Alexandria describes a geometry-optimized NbSnMoRh structure. The functional is PBE.

Output
For the energy relative to the elements, the calculation gives -0.1775 eV per atom. As for the calculated volume: 68.2 Å³/f.u. The total energy comes out at -8.24 eV per atom. The value obtained for the calculated density is 10.0 g cm⁻³.

The structure in POSCAR format:
```
NbSnMoRh
1.0
-3.578 -2.690 -0.991
0.654 -3.961 -2.215
-0.557 -3.980 2.208
Mo Rh Sn Nb
1 1 1 1
Direct
0.500 0.500 0.500
0.000 0.000 0.000
0.250 0.250 0.250
0.750 0.750 0.750
```

This record from Alexandria describes a geometry-optimized Y2Ag3Sn structure. The functional is PBE.

Output
For the energy relative to the elements, the calculation gives -0.3923 eV per atom. As for the calculated volume: 139.2 Å³/f.u. The total energy comes out at -4.64 eV per atom. The value obtained for the calculated density is 7.4 g cm⁻³.

The structure in POSCAR format:
```
Y2Ag3Sn
1.0
5.826 1.104 0.000
0.743 5.883 0.000
-3.284 -3.493 8.322
Y Ag Sn
4 6 2
Direct
0.750 0.250 0.500
0.758 0.242 0.000
0.250 0.750 0.500
0.242 0.758 0.000
0.834 0.834 0.165
0.669 0.669 0.835
0.166 0.166 0.835
0.331 0.331 0.165
0.167 0.167 0.333
0.833 0.833 0.667
0.665 0.665 0.331
0.335 0.335 0.669
```

This record from Alexandria describes a geometry-optimized Nd5YHoEr2 structure. The functional is PBE.

Output
For the energy relative to the elements, the calculation gives 0.1489 eV per atom. As for the calculated volume: 308.8 Å³/f.u. The total energy comes out at -4.74 eV per atom. The value obtained for the calculated density is 7.0 g cm⁻³.

The structure in POSCAR format:
```
Nd5YHoEr2
1.0
5.648 0.000 0.000
-2.824 10.238 0.000
0.000 0.000 10.681
Nd Y Ho Er
10 2 2 4
Direct
0.384 0.769 0.021
0.721 0.442 0.813
0.483 0.967 0.744
0.297 0.594 0.708
0.985 0.970 0.517
0.616 0.231 0.521
0.279 0.558 0.313
0.517 0.033 0.244
0.703 0.406 0.208
0.015 0.030 0.017
0.593 0.186 0.963
0.407 0.814 0.463
0.801 0.602 0.511
0.199 0.398 0.011
0.886 0.772 0.807
0.113 0.226 0.739
0.114 0.228 0.307
0.887 0.774 0.239
```

This record from Alexandria describes a geometry-optimized RbHoEr4Se8 structure. The functional is PBE.

Output
As for the calculated volume: 447.3 Å³/f.u. The total energy comes out at -5.40 eV per atom. As for the raw formation energy: -164.43 kJ per mole of atoms. The value obtained for the calculated density is 5.8 g cm⁻³.

The structure in POSCAR format:
```
RbHoEr4Se8
1.0
8.572 0.000 0.000
4.286 7.424 0.000
4.286 2.475 7.028
Rb Ho Er Se
1 1 4 8
Direct
0.374 0.374 0.878
0.005 0.005 0.984
0.625 0.625 0.125
0.005 0.486 0.505
0.486 0.005 0.505
0.005 0.005 0.505
0.233 0.803 0.731
0.803 0.233 0.731
0.233 0.233 0.731
0.232 0.232 0.305
0.757 0.228 0.258
0.228 0.757 0.258
0.757 0.757 0.258
0.757 0.757 0.728
```

This record from Alexandria describes a geometry-optimized SrTbZn3 structure. The functional is PBE.

Output
For the energy relative to the elements, the calculation gives -0.2478 eV per atom. As for the calculated volume: 122.9 Å³/f.u. The total energy comes out at -2.27 eV per atom. The value obtained for the calculated density is 6.0 g cm⁻³.

The structure in POSCAR format:
```
SrTbZn3
1.0
3.910 0.000 -0.538
0.000 4.565 0.000
-0.094 0.000 13.783
Sr Tb Zn
2 2 6
Direct
0.925 0.750 0.851
0.075 0.250 0.149
0.209 0.750 0.417
0.791 0.250 0.583
0.624 0.750 0.248
0.376 0.250 0.752
0.525 0.750 0.050
0.475 0.250 0.950
0.679 0.250 0.357
0.321 0.750 0.643
```

This record from Alexandria describes a geometry-optimized AlAgPt4 structure. The functional is PBE.

Output
For the energy relative to the elements, the calculation gives -0.0574 eV per atom. As for the calculated volume: 104.4 Å³/f.u. The total energy comes out at -5.18 eV per atom. The value obtained for the calculated density is 14.6 g cm⁻³.

The structure in POSCAR format:
```
AlAgPt4
1.0
3.737 0.134 3.735
-0.696 -2.632 4.530
2.875 -4.316 1.017
Al Ag Pt
1 1 4
Direct
0.000 0.000 0.000
0.750 0.750 0.750
0.875 0.375 0.375
0.375 0.375 0.875
0.375 0.875 0.375
0.375 0.375 0.375
```